# 1
VASP calculation (GGA-PBE) on crystalline Tm2BiOs at its relaxed geometry.

abc: 3.3914 3.3914 8.4047
angles: 90.00 90.00 90.00
Closest atoms and distances in Å follow each position.
Space group P4/mmm (No. 123)
Unique sites:
Tm: 0.0000 0.0000 0.1942 [2 per cell]  4 Os 2.90
Bi: 0.5000 0.5000 0.5000 [1 per cell]  4 Bi 3.39, 8 Tm 3.52
Os: 0.5000 0.5000 0.0000 [1 per cell]  8 Tm 2.90

Size of the total moment: 0.00 μB/f.u.
Crystal system: tetragonal
Volume: 96.7 Å³/cell


# 2
VASP calculation (GGA-PBE) on crystalline SrNbIn3 at its relaxed geometry.

abc: 5.4123 5.4123 5.4123
angles: 90.00 90.00 90.00
Closest atoms and distances in Å follow each position.
Space group Pm-3m (No. 221)
Unique sites:
Sr: 0.0000 0.0000 0.0000 [1 per cell]  12 In 3.83
Nb: 0.5000 0.5000 0.5000 [1 per cell]  6 In 2.71
In: 0.0000 0.5000 0.5000 [3 per cell]  2 Nb 2.71

Polymorph energy (0 for the lowest one): 0.0000 eV/atom
Size of the total moment: 0.00 μB/f.u.
Crystal system: cubic
Volume: 158.5 Å³/cell


# 3
VASP calculation (GGA-PBE) on crystalline CaBe2Zn2 at its relaxed geometry.

abc: 4.1156 4.1156 9.5539
angles: 90.00 90.00 90.00
Closest atoms and distances in Å follow each position.
Space group I4/mmm (No. 139)
Unique sites:
Ca: 0.0000 0.0000 0.0000 [2 per cell]  8 Be 3.15, 10 Zn 3.19-3.47
Be: 0.0000 0.5000 0.2500 [4 per cell]  4 Zn 2.33
Zn: 0.0000 0.0000 0.3637 [4 per cell]  4 Be 2.33, 1 Zn 2.61

Polymorph energy (0 for the lowest one): 0.0000 eV/atom
Size of the total moment: 0.00 μB/f.u.
Crystal system: tetragonal
Volume: 161.8 Å³/cell


# 4
VASP calculation (GGA-PBE) on crystalline ZrAl3Re at its relaxed geometry.

abc: 4.8518 4.8518 4.8518
angles: 90.00 90.00 90.00
Closest atoms and distances in Å follow each position.
Space group Pm-3m (No. 221)
Unique sites:
Zr: 0.0000 0.0000 0.0000 [1 per cell]  6 Al 2.43
Al: 0.0000 0.0000 0.5000 [3 per cell]  2 Zr 2.43
Re: 0.5000 0.5000 0.5000 [1 per cell]  12 Al 3.43

Polymorph energy (0 for the lowest one): 1.6648 eV/atom
Size of the total moment: 0.00 μB/f.u.
Crystal system: cubic
Volume: 114.2 Å³/cell


| no. | formation energy (meV per atom) |
| --- | --- |
| 1 | -492 |
| 2 | 44 |
| 3 | 34 |
| 4 | 1958 |